(1)
Compound: PrNdHo5
Source: the Alexandria database
Functional: PBE-GGA
Structure: relaxed

Lattice parameters (Å, degrees): 5.7596 8.6707 11.8047 90.00 90.00 90.00
Space group Immm (No. 71)
Inequivalent atoms, fractional coordinates:
Pr1 0.0000 0.0000 0.0000 x2
Nd1 0.0000 0.0000 0.5000 x2
Ho1 0.0000 0.0000 0.2529 x4
Ho2 0.0000 0.3209 0.5000 x4
Ho3 0.0000 0.5000 0.0000 x2

Volume ... 589.53 Å³/cell
Fermi-level density of states ... 10.1 states/eV/f.u.

(2)
Compound: PrNdHo5
Source: the Alexandria database
Functional: PBE-GGA
Structure: relaxed

Lattice parameters (Å, degrees): 11.7025 6.8577 12.1348 90.00 108.98 90.00
Space group C2/c (No. 15)
Inequivalent atoms, fractional coordinates:
Pr1 0.0000 0.0260 0.2500 x4
Nd1 0.2500 0.2500 0.0000 x4
Ho1 0.0000 0.4117 0.7500 x4
Ho2 0.0777 0.2782 0.4983 x8
Ho3 0.2211 0.3597 0.2538 x8

Volume ... 920.91 Å³/cell
Fermi-level density of states ... 9.6 states/eV/f.u.

Stability ranking, top and bottom: (2) is the most stable and (1) is the least stable.

(1)
Compound: Pr12NdHo7
Source: the Alexandria database
Functional: PBE-GGA
Structure: relaxed

Lattice parameters (Å, degrees): 19.7360 19.7360 6.2816 90.00 90.00 120.00
Space group R-3m (No. 166, hexagonal axes)
Inequivalent atoms, fractional coordinates:
Pr1 0.0000 0.4118 0.0000 x18
Pr2 0.0975 0.5488 0.4702 x18
Nd1 0.0000 0.0000 0.5000 x3
Ho1 0.0000 0.0000 0.0000 x3
Ho2 0.0819 0.1637 0.2939 x18

Volume ... 2118.95 Å³/cell
Fermi-level density of states ... 28.8 states/eV/f.u.

(2)
Compound: Pr12NdHo7
Source: the Alexandria database
Functional: PBE-GGA
Structure: relaxed

Lattice parameters (Å, degrees): 15.3527 15.3527 10.2167 90.00 90.00 120.00
Space group R-3 (No. 148, hexagonal axes)
Inequivalent atoms, fractional coordinates:
Pr1 0.0433 0.1993 0.2518 x18
Pr2 0.0460 0.2484 0.5768 x18
Nd1 0.0000 0.0000 0.0000 x3
Ho1 0.0000 0.0000 0.5000 x3
Ho2 0.0664 0.2455 0.9259 x18

Volume ... 2085.49 Å³/cell
Fermi-level density of states ... 34.3 states/eV/f.u.

Stability ranking, top and bottom: (2) is the most stable and (1) is the least stable.

(1)
Compound: Pr3NdHo4
Source: the Alexandria database
Functional: PBE-GGA
Structure: relaxed

Lattice parameters (Å, degrees): 11.6320 7.3446 6.3170 90.00 90.00 90.00
Space group Pmn2_1 (No. 31)
Inequivalent atoms, fractional coordinates:
Pr1 0.0000 0.1286 0.0000 x2
Pr2 0.2497 0.1285 0.3383 x4
Nd1 0.0000 0.8705 0.5006 x2
Ho1 0.0000 0.3801 0.5026 x2
Ho2 0.0000 0.6203 0.0032 x2
Ho3 0.2502 0.3800 0.8358 x4

Volume ... 539.67 Å³/cell
Fermi-level density of states ... 14.7 states/eV/f.u.

(2)
Compound: Pr3NdHo4
Source: the Alexandria database
Functional: PBE-GGA
Structure: relaxed

Lattice parameters (Å, degrees): 3.4751 11.7498 13.2296 90.00 90.00 90.00
Space group Immm (No. 71)
Inequivalent atoms, fractional coordinates:
Pr1 0.0000 0.0000 0.0000 x2
Pr2 0.0000 0.5000 0.2417 x4
Nd1 0.0000 0.0000 0.5000 x2
Ho1 0.0000 0.2487 0.3651 x8

Volume ... 540.20 Å³/cell
Fermi-level density of states ... 13.0 states/eV/f.u.

Stability ranking, top and bottom: (1) is the most stable and (2) is the least stable.

(1)
Compound: Pr5Nd3Ho3
Source: the Alexandria database
Functional: PBE-GGA
Structure: relaxed

Lattice parameters (Å, degrees): 11.4668 11.4668 3.4768 90.00 90.00 120.00
Space group P-62m (No. 189)
Inequivalent atoms, fractional coordinates:
Pr1 0.0000 0.6633 0.0000 x3
Pr2 0.3333 0.6667 0.0000 x2
Nd1 0.0000 0.4021 0.5000 x3
Ho1 0.0000 0.1586 0.0000 x3

Volume ... 395.90 Å³/cell
Fermi-level density of states ... 17.5 states/eV/f.u.

(2)
Compound: Pr5Nd3Ho3
Source: the Alexandria database
Functional: PBE-GGA
Structure: relaxed

Lattice parameters (Å, degrees): 9.8525 9.8525 5.5756 90.00 90.00 120.00
Space group P-62m (No. 189)
Inequivalent atoms, fractional coordinates:
Pr1 0.0000 0.2686 0.0000 x3
Pr2 0.3333 0.6667 0.0000 x2
Nd1 0.0000 0.4258 0.5000 x3
Ho1 0.0000 0.6331 0.0000 x3

Volume ... 468.72 Å³/cell
Fermi-level density of states ... 19.5 states/eV/f.u.

Stability ranking, top and bottom: (1) is the most stable and (2) is the least stable.

(1)
Compound: Pr12Nd5Ho2
Source: the Alexandria database
Functional: PBE-GGA
Structure: relaxed

Lattice parameters (Å, degrees): 18.9229 7.2703 10.6448 90.00 111.40 90.00
Space group C2/m (No. 12)
Inequivalent atoms, fractional coordinates:
Pr1 0.0017 0.0000 0.3209 x4
Pr2 0.0241 0.5000 0.2421 x4
Pr3 0.1604 0.2526 0.8684 x8
Pr4 0.1670 0.2485 0.5237 x8
Nd1 0.0000 0.5000 0.5000 x2
Nd2 0.1723 0.0000 0.2079 x4
Nd3 0.1843 0.5000 0.1851 x4
Ho1 0.0000 0.2209 0.0000 x4

Volume ... 1363.48 Å³/cell
Fermi-level density of states ... 31.8 states/eV/f.u.

(2)
Compound: Pr12Nd5Ho2
Source: the Alexandria database
Functional: PBE-GGA
Structure: relaxed

Lattice parameters (Å, degrees): 22.7925 7.2404 8.9049 90.00 110.57 90.00
Space group C2/m (No. 12)
Inequivalent atoms, fractional coordinates:
Pr1 0.0485 0.0000 0.1970 x4
Pr2 0.1056 0.2440 0.8831 x8
Pr3 0.1398 0.5000 0.5513 x4
Pr4 0.2014 0.2475 0.2935 x8
Nd1 0.0000 0.5000 0.0000 x2
Nd2 0.1490 0.0000 0.5963 x4
Nd3 0.2482 0.5000 0.9892 x4
Ho1 0.0000 0.2413 0.5000 x4

Volume ... 1375.86 Å³/cell
Fermi-level density of states ... 29.0 states/eV/f.u.

Stability ranking, top and bottom: (2) is the most stable and (1) is the least stable.

(1)
Compound: Pr2NdHo4
Source: the Alexandria database
Functional: PBE-GGA
Structure: relaxed

Lattice parameters (Å, degrees): 16.6035 6.7891 11.6136 90.00 134.31 90.00
Space group C2 (No. 5)
Inequivalent atoms, fractional coordinates:
Pr1 0.0000 0.0000 0.0000 x2
Pr2 0.0000 0.0008 0.5000 x2
Pr3 0.2226 0.8861 0.9733 x4
Nd1 0.2229 0.8862 0.4723 x4
Ho1 0.0004 0.6720 0.2501 x4
Ho2 0.0006 0.2273 0.2506 x4
Ho3 0.1513 0.5156 0.1516 x4
Ho4 0.1508 0.5184 0.6504 x4

Volume ... 936.72 Å³/cell
Fermi-level density of states ... 7.9 states/eV/f.u.

(2)
Compound: Pr2NdHo4
Source: the Alexandria database
Functional: PBE-GGA
Structure: relaxed

Lattice parameters (Å, degrees): 9.8374 9.8374 9.8385 90.00 90.00 90.00
Space group I-42d (No. 122)
Inequivalent atoms, fractional coordinates:
Pr1 0.1252 0.2500 0.1250 x8
Nd1 0.0000 0.0000 0.5000 x4
Ho1 0.0818 0.1684 0.7929 x16

Volume ... 952.11 Å³/cell
Fermi-level density of states ... 13.0 states/eV/f.u.

Stability ranking, top and bottom: (1) is the most stable and (2) is the least stable.